No. 1
An optimized crystal structure of LiSm3In2. Source: the Alexandria database, functional GGA-PBE.

Unit cell a=5.3935 b=5.3935 c=13.2469 alpha=90.00 beta=90.00 gamma=120.00
With the nearest neighbours (Å) after each atom.
Space group P-3m1 (No. 164)
Asymmetric unit:
Li 0.3333 0.6667 0.1697 (multiplicity 2)  8 Sm 3.27-3.33
Sm 0.0000 0.0000 0.2503 (multiplicity 2)  5 In 3.27-3.32, 3 Li 3.29
Sm 0.3333 0.6667 0.4165 (multiplicity 2)  1 Li 3.27, 7 In 3.30-3.43
Sm 0.3333 0.6667 0.9179 (multiplicity 2)  4 In 3.21-3.30, 4 Li 3.32-3.33
In 0.0000 0.0000 0.0000 (multiplicity 1)  8 Sm 3.30-3.32
In 0.0000 0.0000 0.5000 (multiplicity 1)  8 Sm 3.30-3.31
In 0.3333 0.6667 0.6755 (multiplicity 2)  8 Sm 3.21-3.43

Results
**Formation energy from the elements**: -0.3445 eV per atom
**Magnetic moment**: 0.00 μB/cell



No. 2
An optimized crystal structure of DyHfSn. Source: the Alexandria database, functional GGA-PBE.

Unit cell a=3.6738 b=3.6738 c=11.1266 alpha=90.00 beta=90.00 gamma=90.00
With the nearest neighbours (Å) after each atom.
Space group I4mm (No. 107)
Asymmetric unit:
Dy 0.0000 0.0000 0.0000 (multiplicity 2)  5 Sn 3.26-3.60, 5 Hf 3.26-3.59
Hf 0.0000 0.0000 0.3225 (multiplicity 2)  4 Sn 3.06, 4 Dy 3.26
Sn 0.0000 0.0000 0.6764 (multiplicity 2)  4 Hf 3.06, 4 Dy 3.26

Results
**Formation energy from the elements**: -0.2520 eV per atom
**Energy relative to the lowest polymorph listed for this composition**: 276 meV/atom
**Magnetic moment**: 0.00 μB/cell



No. 3
An optimized crystal structure of Sm8AlIr2. Source: the Alexandria database, functional GGA-PBE.

Unit cell a=8.8830 b=13.4295 c=5.5255 alpha=90.00 beta=103.68 gamma=90.00
With the nearest neighbours (Å) after each atom.
Space group C2/m (No. 12)
Asymmetric unit:
Sm 0.0000 0.2464 0.0000 (multiplicity 4)  2 Ir 2.89
Sm 0.1180 0.5000 0.8052 (multiplicity 4)  2 Ir 3.10, 1 Al 3.31, 3 Sm 3.34-3.40
Sm 0.1969 0.1273 0.5710 (multiplicity 8)  2 Ir 2.93-2.99
Al 0.0000 0.0000 0.0000 (multiplicity 2)  12 Sm 3.31-3.68
Ir 0.0000 0.3101 0.5000 (multiplicity 4)  8 Sm 2.89-3.10

Results
**Formation energy from the elements**: -0.3097 eV per atom
**Magnetic moment**: 0.00 μB/cell



No. 4
An optimized crystal structure of KGa2Mo. Source: the Alexandria database, functional GGA-PBE.

Unit cell a=5.4665 b=5.4665 c=17.3100 alpha=90.00 beta=90.00 gamma=90.00
With the nearest neighbours (Å) after each atom.
Space group I4_1/amd (No. 141, origin choice 2)
Asymmetric unit:
K 0.0000 0.2500 0.3750 (multiplicity 4)  8 Ga 3.74, 4 Mo 3.87
Ga 0.0000 0.0000 0.0000 (multiplicity 8)  2 Mo 2.56, 2 Ga 2.73
Mo 0.0000 0.2500 0.8750 (multiplicity 4)  4 Ga 2.56

Results
**Formation energy from the elements**: 0.6660 eV per atom
**Energy relative to the lowest polymorph listed for this composition**: 0 meV/atom
**Magnetic moment**: 10.18 μB/cell



No. 5
An optimized crystal structure of Cu2NiW. Source: the Alexandria database, functional GGA-PBE.

Unit cell a=8.8200 b=2.6005 c=4.5288 alpha=90.00 beta=99.40 gamma=90.00
With the nearest neighbours (Å) after each atom.
Space group C2/m (No. 12)
Asymmetric unit:
Cu 0.2468 0.0000 0.2435 (multiplicity 4)  6 Cu 2.57-2.66, 3 Ni 2.62-2.65, 3 W 2.63-2.68
Ni 0.0000 0.5000 0.0000 (multiplicity 2)  2 Ni 2.60, 4 W 2.61, 6 Cu 2.62-2.65
W 0.0000 0.0000 0.5000 (multiplicity 2)  2 W 2.60, 4 Ni 2.61, 6 Cu 2.63-2.68

Results
**Formation energy from the elements**: 0.2140 eV per atom
**Energy relative to the lowest polymorph listed for this composition**: 106 meV/atom
**Magnetic moment**: 0.00 μB/cell



No. 6
An optimized crystal structure of Cd4PtAu2. Source: the Alexandria database, functional GGA-PBE.

Unit cell a=12.8412 b=4.4444 c=5.7573 alpha=90.00 beta=111.61 gamma=90.00
With the nearest neighbours (Å) after each atom.
Space group C2/m (No. 12)
Asymmetric unit:
Cd 0.0575 0.0000 0.3061 (multiplicity 4)  2 Pt 2.76, 3 Au 2.86-3.05
Cd 0.1571 0.5000 0.7794 (multiplicity 4)  1 Pt 2.75, 4 Au 2.89-3.05
Pt 0.0000 0.5000 0.0000 (multiplicity 2)  6 Cd 2.75-2.76, 2 Au 2.77
Au 0.2220 0.5000 0.3206 (multiplicity 4)  1 Pt 2.77, 7 Cd 2.86-3.05, 2 Au 2.94

Results
**Formation energy from the elements**: -0.1534 eV per atom
**Energy relative to the lowest polymorph listed for this composition**: 64 meV/atom
**Magnetic moment**: 0.00 μB/cell



No. 7
An optimized crystal structure of Nb2ZnIrF. Source: the Alexandria database, functional GGA-PBE.

Unit cell a=4.9032 b=4.9032 c=4.8314 alpha=90.00 beta=90.00 gamma=90.00
With the nearest neighbours (Å) after each atom.
Space group P4/mmm (No. 123)
Asymmetric unit:
Nb 0.0000 0.5000 0.0000 (multiplicity 2)  2 Ir 2.45
Zn 0.0000 0.0000 0.5000 (multiplicity 1)  2 Ir 2.42
Ir 0.0000 0.0000 0.0000 (multiplicity 1)  2 Zn 2.42, 4 Nb 2.45
F 0.5000 0.5000 0.5000 (multiplicity 1)  8 Nb 3.44, 4 Zn 3.47

Results
**Raw formation energy**: 57.3 kJ/mol of atoms
**Energy relative to the lowest polymorph listed for this composition**: 0 meV/atom
**Magnetic moment**: 2.58 μB/cell



No. 8
An optimized crystal structure of K3HgGe. Source: the Alexandria database, functional GGA-PBE.

Unit cell a=4.1942 b=10.1009 c=10.2354 alpha=87.25 beta=89.99 gamma=78.20
With the nearest neighbours (Å) after each atom.
Space group P1 (No. 1)
Asymmetric unit:
K 0.0000 0.0000 0.0000 (multiplicity 1)  3 Ge 3.50-3.66, 2 Hg 3.82-3.84
K 0.1353 0.7303 0.3792 (multiplicity 1)  4 Hg 3.60-3.71, 1 Ge 4.00
K 0.2992 0.3993 0.0037 (multiplicity 1)  4 Hg 3.60-3.70, 1 Ge 3.93
K 0.4351 0.1298 0.3856 (multiplicity 1)  3 Ge 3.50-3.68, 2 Hg 3.82-3.84
K 0.6167 0.7622 0.7484 (multiplicity 1)  3 Ge 3.41-3.52, 1 Hg 3.62
K 0.8163 0.3722 0.6344 (multiplicity 1)  3 Ge 3.42-3.51, 1 Hg 3.61
Hg 0.6565 0.6872 0.0983 (multiplicity 1)  1 Hg 3.01
Hg 0.7782 0.4419 0.2848 (multiplicity 1)  1 Hg 3.01
Ge 0.4418 0.1186 0.7452 (multiplicity 1)  2 Ge 2.57
Ge 0.9918 0.0169 0.6421 (multiplicity 1)  2 Ge 2.57

Results
**Formation energy from the elements**: -0.1246 eV per atom
**Energy relative to the lowest polymorph listed for this composition**: 0 meV/atom
**Magnetic moment**: 0.00 μB/cell



No. 9
An optimized crystal structure of KLi2Rh. Source: the Alexandria database, functional GGA-PBE.

Unit cell a=2.7734 b=4.3486 c=7.8134 alpha=90.00 beta=100.07 gamma=90.00
With the nearest neighbours (Å) after each atom.
Space group Pm (No. 6)
Asymmetric unit:
K 0.0000 0.0000 0.0000 (multiplicity 1)  2 K 2.77, 1 Li 3.04
Li 0.7162 0.5000 0.4085 (multiplicity 1)  2 Rh 2.60, 4 Li 2.65-2.77
Li 0.8165 0.0000 0.6045 (multiplicity 1)  4 Li 2.65-2.77, 4 Rh 2.66-2.67
Rh 0.3573 0.5000 0.6940 (multiplicity 1)  6 Li 2.60-2.67, 2 Rh 2.77

Results
**Formation energy from the elements**: 0.1889 eV per atom
**Magnetic moment**: 0.00 μB/cell



No. 10
An optimized crystal structure of Mg2GaAg2. Source: the Alexandria database, functional GGA-PBE.

Unit cell a=7.6079 b=7.6079 c=3.3353 alpha=90.00 beta=90.00 gamma=90.00
With the nearest neighbours (Å) after each atom.
Space group P4/mbm (No. 127)
Asymmetric unit:
Mg 0.1621 0.3379 0.0000 (multiplicity 4)  6 Ag 2.73-2.82
Ga 0.0000 0.0000 0.5000 (multiplicity 2)  4 Ag 2.95, 8 Mg 3.30
Ag 0.1364 0.6364 0.5000 (multiplicity 4)  6 Mg 2.73-2.82, 1 Ag 2.93, 2 Ga 2.95

Results
**Formation energy from the elements**: -0.1142 eV per atom
**Energy relative to the lowest polymorph listed for this composition**: 47 meV/atom
**Magnetic moment**: 0.00 μB/cell



No. 11
An optimized crystal structure of Be2SbTe. Source: the Alexandria database, functional GGA-PBE.

Unit cell a=15.6573 b=3.6852 c=3.6816 alpha=90.00 beta=90.06 gamma=90.00
With the nearest neighbours (Å) after each atom.
Space group Cm (No. 8)
Asymmetric unit:
Be 0.0000 0.0000 0.0000 (multiplicity 2)  2 Te 2.45, 2 Sb 2.56, 4 Be 2.60
Be 0.0002 0.5000 0.5000 (multiplicity 2)  2 Te 2.45, 2 Sb 2.56, 4 Be 2.60
Sb 0.1137 0.0000 0.5004 (multiplicity 2)  4 Be 2.56
Te 0.3967 0.0000 0.9994 (multiplicity 2)  4 Be 2.45

Results
**Raw formation energy**: 2.7 kJ/mol of atoms
**Energy relative to the lowest polymorph listed for this composition**: 6 meV/atom
**Magnetic moment**: 0.00 μB/cell



No. 12
An optimized crystal structure of ZnTc4Ni. Source: the Alexandria database, functional GGA-PBE.

Unit cell a=7.1755 b=7.1755 c=7.1755 alpha=90.00 beta=90.00 gamma=90.00
With the nearest neighbours (Å) after each atom.
Space group F-43m (No. 216)
Asymmetric unit:
Zn 0.0000 0.0000 0.0000 (multiplicity 4)  12 Tc 2.98, 4 Ni 3.11
Tc 0.1246 0.1246 0.3754 (multiplicity 16)  6 Tc 2.53-2.54
Ni 0.2500 0.2500 0.7500 (multiplicity 4)  12 Tc 2.97, 4 Zn 3.11

Results
**Formation energy from the elements**: 0.5207 eV per atom
**Magnetic moment**: 0.02 μB/cell



| no. | calculated total energy (eV/atom) |
| --- | --- |
| 1 | -3.936 |
| 2 | -6.438 |
| 3 | -5.693 |
| 4 | -3.830 |
| 5 | -6.518 |
| 6 | -2.476 |
| 7 | -5.835 |
| 8 | -1.767 |
| 9 | -2.880 |
| 10 | -2.498 |
| 11 | -3.651 |
| 12 | -7.566 |